#A
PBE Dy3Er2Mg3, optimized geometry; density = 6.5 g cm⁻³; V = 28.51 A^3/atom
1.0
6.880 0.000 0.000
-3.440 5.958 0.000
0.000 0.000 5.564
Dy Er Mg
3 2 3
direct
0.003 0.502 0.000 Dy
0.498 0.502 0.000 Dy
0.498 0.997 0.000 Dy
0.000 0.000 0.000 Er
0.333 0.667 0.500 Er
0.341 0.170 0.500 Mg
0.830 0.170 0.500 Mg
0.830 0.659 0.500 Mg

#B
PBE Dy3Er2Mg3, optimized geometry; density = 6.6 g cm⁻³; V = 28.18 A^3/atom
1.0
6.833 0.000 0.000
0.000 5.499 0.000
-3.293 0.000 5.999
Dy Er Mg
3 2 3
direct
0.000 0.000 0.000 Dy
0.009 0.000 0.496 Dy
0.680 0.500 0.313 Dy
0.184 0.500 0.820 Er
0.502 0.000 0.497 Er
0.181 0.500 0.323 Mg
0.501 0.000 0.998 Mg
0.676 0.500 0.818 Mg

Stability, lowest: #A

#A
PBE Dy2ErMg, optimized geometry; density = 7.3 g cm⁻³; V = 29.41 A^3/atom
1.0
5.559 0.000 0.000
0.000 3.549 5.961
0.000 -3.549 5.961
Dy Er Mg
4 2 2
direct
0.000 0.000 0.000 Dy
0.000 0.000 0.501 Dy
0.000 0.501 0.000 Dy
0.500 0.675 0.675 Dy
0.000 0.501 0.501 Er
0.500 0.177 0.177 Er
0.500 0.175 0.669 Mg
0.500 0.669 0.175 Mg

#B
PBE Dy2ErMg, optimized geometry; density = 7.3 g cm⁻³; V = 29.25 A^3/atom
1.0
5.542 0.000 0.000
0.000 5.990 3.524
0.000 -5.990 3.524
Dy Er Mg
4 2 2
direct
0.250 0.082 0.918 Dy
0.250 0.089 0.414 Dy
0.750 0.414 0.089 Dy
0.750 0.918 0.082 Dy
0.250 0.589 0.917 Er
0.750 0.917 0.589 Er
0.250 0.591 0.415 Mg
0.750 0.415 0.591 Mg

#C
PBE Dy2ErMg, optimized geometry; density = 7.4 g cm⁻³; V = 29.17 A^3/atom
1.0
3.498 -6.045 0.000
3.498 6.045 0.000
0.000 0.000 5.519
Dy Er Mg
4 2 2
direct
0.159 0.330 0.250 Dy
0.330 0.159 0.750 Dy
0.670 0.841 0.250 Dy
0.841 0.670 0.750 Dy
0.331 0.669 0.750 Er
0.669 0.331 0.250 Er
0.167 0.833 0.250 Mg
0.833 0.167 0.750 Mg

Stability, lowest: #A

#A
PBE DyErNO, optimized geometry; density = 9.3 g cm⁻³; V = 16.07 A^3/atom
1.0
8.001 0.000 0.000
0.000 6.582 0.000
0.000 0.000 4.882
Dy Er N O
4 4 4 4
direct
0.123 0.069 0.250 Dy
0.123 0.431 0.750 Dy
0.877 0.569 0.250 Dy
0.877 0.931 0.750 Dy
0.374 0.584 0.250 Er
0.374 0.916 0.750 Er
0.626 0.084 0.250 Er
0.626 0.416 0.750 Er
0.377 0.572 0.750 N
0.377 0.928 0.250 N
0.623 0.072 0.750 N
0.623 0.428 0.250 N
0.136 0.093 0.750 O
0.136 0.407 0.250 O
0.864 0.593 0.750 O
0.864 0.907 0.250 O

#B
PBE DyErNO, optimized geometry; density = 9.3 g cm⁻³; V = 16.10 A^3/atom
1.0
8.032 0.000 0.000
0.000 6.545 0.000
0.000 0.000 4.901
Dy Er N O
4 4 4 4
direct
0.128 0.082 0.250 Dy
0.128 0.418 0.750 Dy
0.872 0.582 0.250 Dy
0.872 0.918 0.750 Dy
0.379 0.569 0.250 Er
0.379 0.931 0.750 Er
0.621 0.069 0.250 Er
0.621 0.431 0.750 Er
0.127 0.067 0.750 N
0.127 0.433 0.250 N
0.873 0.567 0.750 N
0.873 0.933 0.250 N
0.371 0.595 0.750 O
0.371 0.905 0.250 O
0.629 0.095 0.750 O
0.629 0.405 0.250 O

Stability, lowest: #B

#A
PBE DyErNO, optimized geometry; density = 8.0 g cm⁻³; V = 18.70 A^3/atom
1.0
4.364 0.000 0.000
0.000 4.364 0.000
0.000 0.000 7.856
Dy Er N O
2 2 2 2
direct
0.250 0.250 0.095 Dy
0.750 0.750 0.905 Dy
0.250 0.750 0.500 Er
0.750 0.250 0.500 Er
0.250 0.250 0.579 N
0.750 0.750 0.421 N
0.250 0.750 0.000 O
0.750 0.250 0.000 O

#B
PBE DyErNO, optimized geometry; density = 8.6 g cm⁻³; V = 17.44 A^3/atom
1.0
4.248 0.000 0.000
0.000 4.248 0.000
0.000 0.000 7.733
Dy Er N O
2 2 2 2
direct
0.250 0.750 0.000 Dy
0.750 0.250 0.000 Dy
0.250 0.250 0.401 Er
0.750 0.750 0.599 Er
0.250 0.250 0.876 N
0.750 0.750 0.124 N
0.250 0.750 0.500 O
0.750 0.250 0.500 O

Stability, lowest: #B

#A
PBE DyErNO, optimized geometry; density = 9.2 g cm⁻³; V = 16.24 A^3/atom
1.0
4.821 0.000 0.000
0.000 3.941 0.000
0.000 0.000 6.840
Dy Er N O
2 2 2 2
direct
0.250 0.000 0.164 Dy
0.750 0.000 0.836 Dy
0.250 0.500 0.667 Er
0.750 0.500 0.333 Er
0.250 0.500 0.338 N
0.750 0.500 0.662 N
0.250 0.000 0.821 O
0.750 0.000 0.179 O

#B
PBE DyErNO, optimized geometry; density = 9.2 g cm⁻³; V = 16.29 A^3/atom
1.0
4.838 0.000 0.000
0.000 3.936 0.000
0.000 0.000 6.841
Dy Er N O
2 2 2 2
direct
0.250 0.000 0.166 Dy
0.750 0.000 0.834 Dy
0.250 0.500 0.667 Er
0.750 0.500 0.333 Er
0.250 0.000 0.833 N
0.750 0.000 0.167 N
0.250 0.500 0.333 O
0.750 0.500 0.667 O

Stability, lowest: #B

#A
PBE DyErNi4, optimized geometry; density = 10.4 g cm⁻³; V = 15.05 A^3/atom
1.0
0.000 3.561 3.561
3.561 0.000 3.561
3.561 3.561 0.000
Dy Er Ni
1 1 4
direct
0.000 0.000 0.000 Dy
0.250 0.250 0.250 Er
0.125 0.625 0.625 Ni
0.625 0.125 0.625 Ni
0.625 0.625 0.125 Ni
0.625 0.625 0.625 Ni

#B
PBE DyErNi4, optimized geometry; density = 9.5 g cm⁻³; V = 16.50 A^3/atom
1.0
5.346 0.000 0.000
-2.673 4.630 0.000
0.000 0.000 8.002
Dy Er Ni
2 2 8
direct
0.000 0.000 0.000 Dy
0.000 0.000 0.500 Dy
0.333 0.667 0.000 Er
0.667 0.333 0.000 Er
0.000 0.500 0.271 Ni
0.000 0.500 0.729 Ni
0.333 0.667 0.500 Ni
0.500 0.000 0.271 Ni
0.500 0.000 0.729 Ni
0.500 0.500 0.271 Ni
0.500 0.500 0.729 Ni
0.667 0.333 0.500 Ni

Stability, lowest: #B